Entry 1:
The following is a DFT calculation (PBEsol) of a relaxed Fe2NiAu crystal.

Results
Excess energy over the best structure of this formula in the dataset = 42 meV/atom
Spin magnetization = 1.492 μB/atom
V = 49.9 Å³/cell
D(E_F) = 5.0 states/eV/f.u.
Energy of formation from the pure elements = 0.12 eV per atom

abc: 4.4533 4.4533 4.4533
angles: 130.47 130.47 72.66
Fractional positions:
Fe: 0.0000 0.0000 0.0000
Fe: 0.7500 0.2500 0.5000
Ni: 0.2500 0.7500 0.5000
Au: 0.5000 0.5000 0.0000

***

Entry 2:
The following is a DFT calculation (PBEsol) of a relaxed CuRe2Si crystal.

Results
Spin magnetization = 0.000 μB/atom
V = 53.9 Å³/cell
Energy relative to the elements, uncorrected = 0.144 eV per atom
D(E_F) = 3.1 states/eV/f.u.

abc: 4.4834 4.4834 4.7356
angles: 102.21 102.21 35.54
Fractional positions:
Cu: 0.0000 0.0000 0.0000
Re: 0.2409 0.2409 0.7493
Re: 0.7591 0.7591 0.2507
Si: 0.5000 0.5000 0.5000

***

Entry 3:
The following is a DFT calculation (PBEsol) of a relaxed Li2IrRh crystal.

Results
Excess energy over the best structure of this formula in the dataset = 30 meV/atom
Spin magnetization = 0.000 μB/atom
V = 52.4 Å³/cell
D(E_F) = 3.0 states/eV/f.u.
Energy of formation from the pure elements = -0.14 eV per atom

abc: 5.0995 5.0995 5.0995
angles: 149.67 127.87 61.51
Fractional positions:
Li: 0.2475 0.2475 0.0000
Li: 0.7525 0.7525 0.0000
Ir: 0.5000 0.0000 0.5000
Rh: 0.0000 0.5000 0.5000

***

Among the records above, which one has the highest spin magnetization?
Fe2NiAu

***

Please write out number 2 again, unchanged.
The following is a DFT calculation (PBEsol) of a relaxed CuRe2Si crystal.

Results
Spin magnetization = 0.000 μB/atom
V = 53.9 Å³/cell
Energy relative to the elements, uncorrected = 0.144 eV per atom
D(E_F) = 3.1 states/eV/f.u.

abc: 4.4834 4.4834 4.7356
angles: 102.21 102.21 35.54
Fractional positions:
Cu: 0.0000 0.0000 0.0000
Re: 0.2409 0.2409 0.7493
Re: 0.7591 0.7591 0.2507
Si: 0.5000 0.5000 0.5000

***

Which of these has the highest D(E_F)?
Fe2NiAu

***

Look up the spin magnetization of the third one.
0.000 μB/atom